No. 1
DFT (GGA-PBEsol) results for a relaxed structure of Pb3Au.

Properties
energy of formation: -0.018 eV per atom
SG: Pnma, No. 62
E: -0.2938 Ry per atom

Cell lengths 6.2631, 7.2429, 9.3947 Å; angles 90.00, 90.00, 90.00 degrees
Last column: nearest neighbours and their distance in Å.
Element x y z (fractional)
Pb  0.6058  0.4843  0.2500  2 Au 2.96-3.00
Pb  0.1530  0.3017  0.4532  3 Au 2.92-3.18
Pb  0.8470  0.6983  0.5468  3 Au 2.92-3.18
Pb  0.8942  0.9843  0.2500  2 Au 2.96-3.00
Pb  0.6530  0.1983  0.5468  3 Au 2.92-3.18
Pb  0.6530  0.1983  0.9532  3 Au 2.92-3.18
Pb  0.1530  0.3017  0.0468  3 Au 2.92-3.18
Pb  0.3942  0.5157  0.7500  2 Au 2.96-3.00
Pb  0.3470  0.8017  0.0468  3 Au 2.92-3.18
Pb  0.1058  0.0157  0.7500  2 Au 2.96-3.00
Pb  0.3470  0.8017  0.4532  3 Au 2.92-3.18
Pb  0.8470  0.6983  0.9532  3 Au 2.92-3.18
Au  0.9397  0.4046  0.7500  8 Pb 2.92-3.18
Au  0.5603  0.9046  0.7500  8 Pb 2.92-3.18
Au  0.0603  0.5954  0.2500  8 Pb 2.92-3.18
Au  0.4397  0.0954  0.2500  8 Pb 2.92-3.18



No. 2
DFT (GGA-PBEsol) results for a relaxed structure of Pb5Au.

Properties
energy of formation: -0.011 eV per atom
energy relative to the lowest polymorph listed for this composition: 0.00 kJ/mol of atoms
SG: P4/mmm, No. 123
E: -0.2938 Ry per atom

Cell lengths 3.5093, 3.5093, 13.2972 Å; angles 90.00, 90.00, 90.00 degrees
Last column: nearest neighbours and their distance in Å.
Element x y z (fractional)
Au  0.5000  0.5000  0.0000  8 Pb 3.06
Pb  0.5000  0.5000  0.3215  12 Pb 3.43-3.52
Pb  0.0000  0.0000  0.8660  4 Au 3.06
Pb  0.0000  0.0000  0.1341  4 Au 3.06
Pb  0.5000  0.5000  0.6785  12 Pb 3.43-3.52
Pb  0.0000  0.0000  0.5000  12 Pb 3.43-3.51



No. 3
DFT (GGA-PBEsol) results for a relaxed structure of PbAu5.

Properties
energy of formation: 0.051 eV per atom
SG: C2/m, No. 12
E: -0.2856 Ry per atom

Cell lengths 3.6689, 5.2302, 6.6588 Å; angles 109.12, 90.00, 110.53 degrees
Last column: nearest neighbours and their distance in Å.
Element x y z (fractional)
Pb  0.0000  0.0000  0.0000  10 Au 2.96-3.06
Au  0.6779  0.3558  0.8167  8 Au 2.88-3.13, 3 Pb 2.96-3.06
Au  0.6626  0.3252  0.3526  9 Au 2.79-3.13, 2 Pb 2.97
Au  0.3221  0.6442  0.1833  8 Au 2.88-3.13, 3 Pb 2.96-3.06
Au  0.0000  0.0000  0.5000  10 Au 2.82-3.10
Au  0.3374  0.6748  0.6474  9 Au 2.79-3.13, 2 Pb 2.97



No. 4
DFT (GGA-PBEsol) results for a relaxed structure of Pb5Au.

Properties
energy of formation: 0.071 eV per atom
energy relative to the lowest polymorph listed for this composition: 7.89 kJ/mol of atoms
SG: P-62m, No. 189
E: -0.2878 Ry per atom

Cell lengths 5.4231, 5.9029, 5.9029 Å; angles 120.00, 90.00, 90.00 degrees
Last column: nearest neighbours and their distance in Å.
Element x y z (fractional)
Pb  0.5000  0.6667  0.3333  9 Pb 3.37-3.41, 3 Au 3.41
Pb  0.0000  0.6795  0.0000  10 Pb 3.28-3.48, 2 Au 3.31
Pb  0.0000  0.0000  0.6795  10 Pb 3.28-3.48, 2 Au 3.31
Pb  0.0000  0.3205  0.3205  10 Pb 3.28-3.48, 2 Au 3.31
Pb  0.5000  0.3333  0.6667  9 Pb 3.37-3.41, 3 Au 3.41
Au  0.5000  0.0000  0.0000  12 Pb 3.31-3.41



No. 5
DFT (GGA-PBEsol) results for a relaxed structure of PbAu5.

Properties
energy of formation: 0.064 eV per atom
SG: Cmmm, No. 65
E: -0.2846 Ry per atom

Cell lengths 4.1312, 4.3237, 6.5956 Å; angles 70.87, 90.00, 90.00 degrees
Last column: nearest neighbours and their distance in Å.
Element x y z (fractional)
Au  0.0000  0.1690  0.6619  10 Au 2.83-2.99, 2 Pb 3.02
Au  0.5000  0.3246  0.3508  10 Au 2.83-3.07, 2 Pb 3.01
Au  0.5000  0.0000  0.0000  8 Au 2.95-3.07, 4 Pb 2.99
Au  0.0000  0.8310  0.3381  10 Au 2.83-2.99, 2 Pb 3.02
Au  0.5000  0.6754  0.6492  10 Au 2.83-3.07, 2 Pb 3.01
Pb  0.0000  0.5000  0.0000  12 Au 2.99-3.02



No. 6
DFT (GGA-PBEsol) results for a relaxed structure of Pd2PbAu2.

Properties
energy of formation: -0.076 eV per atom
SG: P4/mbm, No. 127
E: -0.3549 Ry per atom

Cell lengths 3.6278, 7.0791, 7.0791 Å; angles 90.00, 90.00, 90.00 degrees
Last column: nearest neighbours and their distance in Å.
Element x y z (fractional)
Pb  0.0000  0.5000  0.5000  4 Pd 2.74
Pb  0.0000  0.0000  0.0000  4 Pd 2.74
Pd  0.0000  0.8619  0.6381  2 Pb 2.74, 6 Au 2.75-2.76, 1 Pd 2.77
Pd  0.0000  0.6381  0.1381  2 Pb 2.74, 6 Au 2.75-2.76, 1 Pd 2.77
Pd  0.0000  0.1381  0.3619  2 Pb 2.74, 6 Au 2.75-2.76, 1 Pd 2.77
Pd  0.0000  0.3619  0.8619  2 Pb 2.74, 6 Au 2.75-2.76, 1 Pd 2.77
Au  0.5000  0.8441  0.3441  6 Pd 2.75-2.76
Au  0.5000  0.3441  0.1559  6 Pd 2.75-2.76
Au  0.5000  0.6559  0.8441  6 Pd 2.75-2.76
Au  0.5000  0.1559  0.6559  6 Pd 2.75-2.76



No. 7
DFT (GGA-PBEsol) results for a relaxed structure of PdPb2Au.

Properties
energy of formation: -0.050 eV per atom
SG: Fm-3m, No. 225
E: -0.3322 Ry per atom

Cell lengths 4.9454, 4.9454, 4.9454 Å; angles 60.00, 60.00, 60.00 degrees
Last column: nearest neighbours and their distance in Å.
Element x y z (fractional)
Pb  0.2500  0.2500  0.2500  4 Au 3.03, 4 Pd 3.03
Pb  0.7500  0.7500  0.7500  4 Pd 3.03, 4 Au 3.03
Au  0.5000  0.5000  0.5000  8 Pb 3.03
Pd  0.0000  0.0000  0.0000  8 Pb 3.03



No. 8
DFT (GGA-PBEsol) results for a relaxed structure of PrPbAu2.

Properties
energy of formation: -0.600 eV per atom
SG: Fm-3m, No. 225
E: -0.3570 Ry per atom

Cell lengths 5.0660, 5.0660, 5.0660 Å; angles 60.00, 60.00, 60.00 degrees
Last column: nearest neighbours and their distance in Å.
Element x y z (fractional)
Au  0.2500  0.2500  0.2500  4 Pb 3.10, 4 Pr 3.10
Au  0.7500  0.7500  0.7500  4 Pb 3.10, 4 Pr 3.10
Pr  0.0000  0.0000  0.0000  8 Au 3.10
Pb  0.5000  0.5000  0.5000  8 Au 3.10



What did the third record say?
DFT (GGA-PBEsol) results for a relaxed structure of PbAu5.

Properties
energy of formation: 0.051 eV per atom
SG: C2/m, No. 12
E: -0.2856 Ry per atom

Cell lengths 3.6689, 5.2302, 6.6588 Å; angles 109.12, 90.00, 110.53 degrees
Last column: nearest neighbours and their distance in Å.
Element x y z (fractional)
Pb  0.0000  0.0000  0.0000  10 Au 2.96-3.06
Au  0.6779  0.3558  0.8167  8 Au 2.88-3.13, 3 Pb 2.96-3.06
Au  0.6626  0.3252  0.3526  9 Au 2.79-3.13, 2 Pb 2.97
Au  0.3221  0.6442  0.1833  8 Au 2.88-3.13, 3 Pb 2.96-3.06
Au  0.0000  0.0000  0.5000  10 Au 2.82-3.10
Au  0.3374  0.6748  0.6474  9 Au 2.79-3.13, 2 Pb 2.97



Among the records above, which one has the lowest E? PrPbAu2



The highest E belongs to which entry? number 5



E of number 5 (PbAu5)? -0.2846 Ry per atom